Computed, not measured: crystalline NaCaPrAg at its relaxed geometry at the PBE-GGA level of DFT.

Results
- uncorrected energy (eV per atom) = -2.74
- N(E_F) (states/eV per cell) = 4.03
- formation enthalpy at 0 K (meV per atom) = -1

Cell: 5.4829 5.4829 5.4829 Å, 60.00 60.00 60.00°
Element x y z (fractional)
Na1 0.0000 0.0000 0.0000
Ca1 0.2500 0.2500 0.2500
Pr1 0.7500 0.7500 0.7500
Ag1 0.5000 0.5000 0.5000